1.
Compound: LaTb7Nd3
Source: Alexandria via LeMat-Bulk
Functional: PBE-GGA
Structure: optimized geometry

- ρ: 7.45 g cm⁻³
- DFT total energy: -4.559 eV/atom
- M_tot: 0.000 μB per cell

Cell lengths 7.0390, 5.6076, 10.1006 Å; angles 90.00, 109.80, 90.00 degrees
Space group P2/m (No. 10)
Symmetry-distinct sites (fractional):
1 La 0.0000 0.0000 0.0000 [1 per cell]
2 Tb 0.0000 0.0000 0.5000 [1 per cell]
3 Tb 0.1439 0.5000 0.7882 [2 per cell]
4 Tb 0.3231 0.5000 0.1394 [2 per cell]
5 Tb 0.4192 0.0000 0.3304 [2 per cell]
6 Nd 0.2816 0.5000 0.4988 [2 per cell]
7 Nd 0.5000 0.0000 0.0000 [1 per cell]

2.
Compound: KTlI2
Source: Alexandria via LeMat-Bulk
Functional: PBE-GGA
Structure: optimized geometry

- ρ: 5.22 g cm⁻³
- DFT total energy: -2.658 eV/atom
- Raw formation energy: -1.017 eV per atom
- M_tot: 0.000 μB per cell

Cell lengths 8.5847, 8.5847, 8.5847 Å; angles 90.00, 90.00, 90.00 degrees
Space group Fm-3m (No. 225)
Symmetry-distinct sites (fractional):
1 K 0.0000 0.0000 0.0000 [4 per cell]
2 Tl 0.0000 0.0000 0.5000 [4 per cell]
3 I 0.2500 0.2500 0.2500 [8 per cell]

3.
Compound: Cu2PPb
Source: Alexandria via LeMat-Bulk
Functional: PBE-GGA
Structure: optimized geometry

- ρ: 8.68 g cm⁻³
- DFT total energy: -4.037 eV/atom
- M_tot: 0.000 μB per cell

Cell lengths 3.0387, 3.3865, 6.7894 Å; angles 90.00, 90.00, 90.00 degrees
Space group Pmmm (No. 47)
Symmetry-distinct sites (fractional):
1 Cu 0.0000 0.0000 0.1810 [2 per cell]
2 P 0.5000 0.5000 0.0000 [1 per cell]
3 Pb 0.5000 0.5000 0.5000 [1 per cell]

4.
Compound: FeOsAu2
Source: Alexandria via LeMat-Bulk
Functional: PBE-GGA
Structure: optimized geometry

- ρ: 16.97 g cm⁻³
- DFT total energy: -6.055 eV/atom
- M_tot: 7.136 μB per cell

Cell lengths 4.0240, 4.0240, 7.7348 Å; angles 90.00, 90.00, 90.00 degrees
Space group I-4m2 (No. 119)
Symmetry-distinct sites (fractional):
1 Fe 0.0000 0.0000 0.0000 [2 per cell]
2 Os 0.0000 0.5000 0.7500 [2 per cell]
3 Au 0.0000 0.0000 0.5000 [2 per cell]
4 Au 0.0000 0.5000 0.2500 [2 per cell]

5.
Compound: ReMoAs2
Source: Alexandria via LeMat-Bulk
Functional: PBE-GGA
Structure: optimized geometry

- ρ: 11.55 g cm⁻³
- DFT total energy: -8.101 eV/atom
- M_tot: 0.000 μB per cell

Cell lengths 3.0610, 4.5695, 4.4391 Å; angles 90.00, 90.00, 90.00 degrees
Space group Pmm2 (No. 25)
Symmetry-distinct sites (fractional):
1 Re 0.0000 0.0000 0.0000 [1 per cell]
2 Mo 0.5000 0.5000 0.2264 [1 per cell]
3 As 0.0000 0.5000 0.7361 [1 per cell]
4 As 0.5000 0.0000 0.4969 [1 per cell]

6.
Compound: Ba2Cu2Cl7
Source: Alexandria via LeMat-Bulk
Functional: PBE-GGA
Structure: optimized geometry

- ρ: 2.92 g cm⁻³
- DFT total energy: -3.821 eV/atom
- Raw formation energy: -1.551 eV per atom
- M_tot: 2.156 μB per cell

Cell lengths 9.6049, 12.1359, 6.4185 Å; angles 90.00, 99.39, 90.00 degrees
Space group C2/m (No. 12)
Symmetry-distinct sites (fractional):
1 Ba 0.0000 0.2029 0.0000 [4 per cell]
2 Cu 0.2241 0.5000 0.4255 [4 per cell]
3 Cl 0.0000 0.5000 0.5000 [2 per cell]
4 Cl 0.1163 0.0000 0.2649 [4 per cell]
5 Cl 0.2466 0.3390 0.2396 [8 per cell]